Below is a relaxed structure of ZnAgTe, with properties calculated at the PBEsol level.

Summary:
For the density of states at the Fermi level, the calculation gives 1.4 states/eV/f.u. The uncorrected formation energy comes out at 0.60 eV per formula unit. The calculation puts the excess energy over the best structure of this formula in the dataset at 134 meV/atom. As for the volume: 245 Å³/cell. As for the final energy: -31.27 eV for the cell shown. The density comes out at 8.146 g/cm3. The calculation puts the spin magnetization at 0.00 Bohr magnetons per cell.

Cell and atoms, written as CIF:
```
data_ZnAgTe
_chemical_formula_sum 'Zn4 Ag4 Te4'
_cell_length_a 3.9185
_cell_length_b 4.9453
_cell_length_c 12.6608
_cell_angle_alpha 90.00
_cell_angle_beta 90.00
_cell_angle_gamma 90.00
_symmetry_space_group_name_H-M 'F m m 2'
_symmetry_Int_Tables_number 42
_symmetry_space_group_name_Hall 'F 2 -2'
loop_
_atom_site_label
_atom_site_type_symbol
_atom_site_fract_x
_atom_site_fract_y
_atom_site_fract_z
Zn1 Zn 0.0000 0.0000 0.0000
Ag1 Ag 0.0000 0.0000 0.6324
Te1 Te 0.0000 0.0000 0.3244
```



Below is a relaxed structure of Cd2SiNi, with properties calculated at the PBEsol level.

Summary:
For the density of states at the Fermi level, the calculation gives 2.6 states/eV/f.u. The uncorrected formation energy comes out at 0.84 eV per formula unit. As for the volume: 128 Å³/cell. As for the final energy: -26.91 eV for the cell shown. The density comes out at 8.090 g/cm3. The calculation puts the spin magnetization at 0.00 Bohr magnetons per cell.

Cell and atoms, written as CIF:
```
data_Cd2SiNi
_chemical_formula_sum 'Cd4 Si2 Ni2'
_cell_length_a 3.9775
_cell_length_b 3.9775
_cell_length_c 8.0858
_cell_angle_alpha 90.00
_cell_angle_beta 90.00
_cell_angle_gamma 90.00
_symmetry_space_group_name_H-M 'I -4 m 2'
_symmetry_Int_Tables_number 119
_symmetry_space_group_name_Hall 'I -4 -2'
loop_
_atom_site_label
_atom_site_type_symbol
_atom_site_fract_x
_atom_site_fract_y
_atom_site_fract_z
Cd1 Cd 0.0000 0.0000 0.0000
Cd2 Cd 0.0000 0.5000 0.2500
Si1 Si 0.0000 0.5000 0.7500
Ni1 Ni 0.0000 0.0000 0.5000
```



Below is a relaxed structure of Na2TlPCO7, with properties calculated at the PBEsol level.

Summary:
The uncorrected formation energy comes out at -20.62 eV per formula unit. As for the volume: 331 Å³/cell. As for the final energy: -156.46 eV for the cell shown. The density comes out at 4.065 g/cm3. The calculation puts the spin magnetization at 0.00 Bohr magnetons per cell.

Cell and atoms, written as CIF:
```
data_Na2TlPCO7
_chemical_formula_sum 'Na4 Tl2 P2 C2 O14'
_cell_length_a 5.2416
_cell_length_b 6.8655
_cell_length_c 9.2027
_cell_angle_alpha 90.00
_cell_angle_beta 90.81
_cell_angle_gamma 90.00
_symmetry_space_group_name_H-M 'P 1 21/m 1'
_symmetry_Int_Tables_number 11
loop_
_symmetry_equiv_pos_as_xyz
'x,y,z'
'-x,-y,-z'
'-x,y+1/2,-z'
'x,-y+1/2,z'
loop_
_atom_site_label
_atom_site_type_symbol
_atom_site_fract_x
_atom_site_fract_y
_atom_site_fract_z
Na1 Na 0.2339 0.0021 0.2870
Tl1 Tl 0.2262 0.2500 0.8733
P1 P 0.2770 0.7500 0.9172
C1 C 0.2682 0.2500 0.5784
O1 O 0.0423 0.2500 0.6353
O2 O 0.1698 0.5704 0.8365
O3 O 0.2001 0.7500 0.0800
O4 O 0.3082 0.2500 0.4439
O5 O 0.4223 0.2500 0.0869
O6 O 0.4638 0.2500 0.6729
```